Record 1
Entry from the Alexandria database: a geometry-optimized CoBi2O6 structure (PBE+U).

Total energy ... -101.2 eV/cell
Space-group type ... P2_1/c, No. 14
Spin magnetization ... 0.000 μB per atom

Unit cell a=5.4150 b=5.3650 c=10.2316 alpha=90.00 beta=121.93 gamma=90.00
With the nearest neighbours (Å) after each atom.
Element x y z (fractional)
Co  0.0000  0.0000  0.0000  6 O 1.89-1.92
Co  0.0000  0.5000  0.5000  6 O 1.89-1.92
Bi  0.3014  0.0006  0.8012  6 O 2.19-2.26
Bi  0.3014  0.4994  0.3012  6 O 2.19-2.26
Bi  0.6986  0.5006  0.6988  6 O 2.19-2.26
Bi  0.6986  0.9994  0.1988  6 O 2.19-2.26
O  0.0078  0.2006  0.1568  1 Co 1.91
O  0.0078  0.2994  0.6568  1 Co 1.91
O  0.2998  0.1801  0.0003  1 Co 1.89
O  0.2998  0.3199  0.5003  1 Co 1.89
O  0.3052  0.7028  0.6558  1 Co 1.92
O  0.3052  0.7972  0.1558  1 Co 1.92
O  0.6948  0.2028  0.8442  1 Co 1.92
O  0.6948  0.2972  0.3442  1 Co 1.92
O  0.7002  0.6801  0.4997  1 Co 1.89
O  0.7002  0.8199  0.9997  1 Co 1.89
O  0.9922  0.7006  0.3432  1 Co 1.91
O  0.9922  0.7994  0.8432  1 Co 1.91



Record 2
Entry from the Alexandria database: a geometry-optimized CoBi2OsO8 structure (PBE+U).

Total energy ... -75.5 eV/cell
Space-group type ... P2/m, No. 10
Spin magnetization ... 0.221 μB per atom

Unit cell a=4.9259 b=6.8529 c=4.9300 alpha=90.00 beta=92.25 gamma=90.00
With the nearest neighbours (Å) after each atom.
Element x y z (fractional)
Co  0.0000  0.0000  0.0000  2 O 1.93
Bi  0.5000  0.2434  0.5000  6 O 2.23-2.34
Bi  0.5000  0.7566  0.5000  6 O 2.23-2.34
Os  0.0000  0.5000  0.0000  6 O 1.87-1.93
O  0.1806  0.2861  0.8284  1 Os 1.93
O  0.1806  0.7139  0.8284  1 Os 1.93
O  0.2680  0.5000  0.2802  1 Os 1.87
O  0.2798  0.0000  0.2847  1 Co 1.93
O  0.7202  0.0000  0.7153  1 Co 1.93
O  0.7320  0.5000  0.7198  1 Os 1.87
O  0.8194  0.2861  0.1716  1 Os 1.93
O  0.8194  0.7139  0.1716  1 Os 1.93



Record 3
Entry from the Alexandria database: a geometry-optimized CoBi2OsO6 structure (PBE+U).

Total energy ... -128.1 eV/cell
Space-group type ... P2_1/c, No. 14
Spin magnetization ... 0.502 μB per atom

Unit cell a=5.6024 b=5.8308 c=9.5091 alpha=90.00 beta=123.60 gamma=90.00
With the nearest neighbours (Å) after each atom.
Element x y z (fractional)
Co  0.0000  0.0000  0.0000  6 O 2.09-2.22
Co  0.0000  0.5000  0.5000  6 O 2.09-2.22
Bi  0.2350  0.0695  0.7314  5 O 2.31-2.46
Bi  0.2350  0.4305  0.2314  5 O 2.31-2.46
Bi  0.7650  0.5695  0.7686  5 O 2.31-2.46
Bi  0.7650  0.9305  0.2686  5 O 2.31-2.46
Os  0.5000  0.0000  0.5000  6 O 1.99-2.08
Os  0.5000  0.5000  0.0000  6 O 1.99-2.08
O  0.1506  0.0325  0.2550  1 Os 2.06, 1 Co 2.09
O  0.1506  0.4675  0.7550  1 Os 2.06, 1 Co 2.09
O  0.1971  0.6753  0.0201  1 Os 2.08, 1 Co 2.15
O  0.1971  0.8247  0.5201  1 Os 2.08, 1 Co 2.15
O  0.3658  0.2223  0.0584  1 Os 1.99, 1 Co 2.22
O  0.3658  0.2777  0.5584  1 Os 1.99, 1 Co 2.22
O  0.6342  0.7223  0.4416  1 Os 1.99, 1 Co 2.22
O  0.6342  0.7777  0.9416  1 Os 1.99, 1 Co 2.22
O  0.8029  0.1753  0.4799  1 Os 2.08, 1 Co 2.15
O  0.8029  0.3247  0.9799  1 Os 2.08, 1 Co 2.15
O  0.8494  0.5325  0.2450  1 Os 2.06, 1 Co 2.09
O  0.8494  0.9675  0.7450  1 Os 2.06, 1 Co 2.09



Record 4
Entry from the Alexandria database: a geometry-optimized CoBiPO2 structure (PBE+U).

Energy above the most stable polymorph in this dataset ... 0.454 eV per atom
Space-group type ... P4/mmm, No. 123
Spin magnetization ... 0.521 μB per atom

Unit cell a=4.1001 b=4.1001 c=5.5945 alpha=90.00 beta=90.00 gamma=90.00
With the nearest neighbours (Å) after each atom.
Element x y z (fractional)
Co  0.0000  0.0000  0.0000  4 P 2.90
Bi  0.5000  0.5000  0.5000  4 O 2.05
P  0.5000  0.5000  0.0000  2 Bi 2.80, 4 Co 2.90
O  0.0000  0.5000  0.5000  2 Bi 2.05
O  0.5000  0.0000  0.5000  2 Bi 2.05



Record 5
Entry from the Alexandria database: a geometry-optimized CoBiP2O structure (PBE+U).

Energy above the most stable polymorph in this dataset ... 0.866 eV per atom
Space-group type ... P4/mmm, No. 123
Spin magnetization ... 0.361 μB per atom

Unit cell a=5.2829 b=5.2829 c=4.1301 alpha=90.00 beta=90.00 gamma=90.00
With the nearest neighbours (Å) after each atom.
Element x y z (fractional)
Co  0.0000  0.0000  0.0000  8 P 3.35, 4 O 3.74
Bi  0.5000  0.5000  0.5000  2 O 2.07
P  0.0000  0.5000  0.5000  2 Bi 2.64
P  0.5000  0.0000  0.5000  2 Bi 2.64
O  0.5000  0.5000  0.0000  2 Bi 2.07



Record 6
Entry from the Alexandria database: a geometry-optimized Co2BiPO8 structure (PBE+U).

Total energy ... -69.9 eV/cell
Space-group type ... P-3, No. 147
Spin magnetization ... 0.499 μB per atom

Unit cell a=4.9742 b=4.9742 c=6.2774 alpha=90.00 beta=90.00 gamma=120.00
With the nearest neighbours (Å) after each atom.
Element x y z (fractional)
Co  0.3333  0.6667  0.1742  4 O 1.71-1.86
Co  0.6667  0.3333  0.8258  4 O 1.71-1.86
Bi  0.0000  0.0000  0.5000  6 O 2.53
P  0.0000  0.0000  0.0000  6 O 1.71
O  0.0122  0.7298  0.8381  1 P 1.71, 1 Co 1.86
O  0.2702  0.2823  0.8381  1 P 1.71, 1 Co 1.86
O  0.2823  0.0122  0.1619  1 P 1.71, 1 Co 1.86
O  0.3333  0.6667  0.4474  1 Co 1.71
O  0.6667  0.3333  0.5526  1 Co 1.71
O  0.7177  0.9878  0.8381  1 P 1.71, 1 Co 1.86
O  0.7298  0.7177  0.1619  1 P 1.71, 1 Co 1.86
O  0.9878  0.2702  0.1619  1 P 1.71, 1 Co 1.86



Record 7
Entry from the Alexandria database: a geometry-optimized CoBiPO2 structure (PBE+U).

Energy above the most stable polymorph in this dataset ... 0.000 eV per atom
Space-group type ... P4/mmm, No. 123
Spin magnetization ... 0.404 μB per atom

Unit cell a=3.9386 b=3.9386 c=4.5319 alpha=90.00 beta=90.00 gamma=90.00
With the nearest neighbours (Å) after each atom.
Element x y z (fractional)
Co  0.0000  0.0000  0.0000  4 O 1.97
Bi  0.5000  0.5000  0.5000  4 P 2.78, 8 O 3.00
P  0.0000  0.0000  0.5000  2 Co 2.27
O  0.0000  0.5000  0.0000  2 Co 1.97
O  0.5000  0.0000  0.0000  2 Co 1.97



Record 8
Entry from the Alexandria database: a geometry-optimized CoBiP2O structure (PBE+U).

Energy above the most stable polymorph in this dataset ... 0.000 eV per atom
Space-group type ... P4/mmm, No. 123
Spin magnetization ... 0.367 μB per atom

Unit cell a=4.8319 b=4.8319 c=3.5488 alpha=90.00 beta=90.00 gamma=90.00
With the nearest neighbours (Å) after each atom.
Element x y z (fractional)
Co  0.0000  0.0000  0.0000  2 O 1.77
Bi  0.5000  0.5000  0.5000  8 P 3.00
P  0.0000  0.5000  0.0000  2 Co 2.42
P  0.5000  0.0000  0.0000  2 Co 2.42
O  0.0000  0.0000  0.5000  2 Co 1.77



Record 9
Entry from the Alexandria database: a geometry-optimized Pa2CoBiO8 structure (PBE+U).

Total energy ... -97.7 eV/cell
Space-group type ... I-4, No. 82
Spin magnetization ... 0.333 μB per atom

Unit cell a=6.6764 b=6.6764 c=6.6764 alpha=132.28 beta=132.28 gamma=69.79
With the nearest neighbours (Å) after each atom.
Element x y z (fractional)
Pa  0.0000  0.0000  0.0000  4 O 2.16
Pa  0.7500  0.2500  0.5000  8 O 2.24-2.39
Co  0.2500  0.7500  0.5000  4 O 1.94
Bi  0.5000  0.5000  0.0000  4 O 2.30
O  0.0880  0.6093  0.8959  2 Pa 2.16-2.24, 1 Bi 2.30
O  0.1137  0.0473  0.4770  1 Co 1.94
O  0.3634  0.8863  0.9336  1 Co 1.94
O  0.3907  0.2866  0.4787  2 Pa 2.16-2.24, 1 Bi 2.30
O  0.5702  0.6366  0.5230  1 Co 1.94
O  0.7134  0.1921  0.1041  2 Pa 2.16-2.24, 1 Bi 2.30
O  0.8079  0.9120  0.5213  2 Pa 2.16-2.24, 1 Bi 2.30
O  0.9527  0.4298  0.0664  1 Co 1.94



Record 10
Entry from the Alexandria database: a geometry-optimized PaCoBiO6 structure (PBE+U).

Total energy ... -130.4 eV/cell
Space-group type ... P-31c, No. 163
Spin magnetization ... 0.000 μB per atom

Unit cell a=5.3426 b=5.3426 c=9.8252 alpha=90.00 beta=90.00 gamma=120.00
With the nearest neighbours (Å) after each atom.
Element x y z (fractional)
Pa  0.3333  0.6667  0.2500  6 O 2.16
Pa  0.6667  0.3333  0.7500  6 O 2.16
Co  0.3333  0.6667  0.7500  6 O 1.94
Co  0.6667  0.3333  0.2500  6 O 1.94
Bi  0.0000  0.0000  0.0000  6 O 2.33
Bi  0.0000  0.0000  0.5000  6 O 2.33
O  0.0319  0.3699  0.6375  1 Co 1.94, 1 Pa 2.16
O  0.0319  0.6620  0.8625  1 Co 1.94, 1 Pa 2.16
O  0.3380  0.3699  0.8625  1 Co 1.94, 1 Pa 2.16
O  0.3380  0.9681  0.6375  1 Co 1.94, 1 Pa 2.16
O  0.3699  0.0319  0.1375  1 Co 1.94, 1 Pa 2.16
O  0.3699  0.3380  0.3625  1 Co 1.94, 1 Pa 2.16
O  0.6301  0.6620  0.6375  1 Co 1.94, 1 Pa 2.16
O  0.6301  0.9681  0.8625  1 Co 1.94, 1 Pa 2.16
O  0.6620  0.0319  0.3625  1 Co 1.94, 1 Pa 2.16
O  0.6620  0.6301  0.1375  1 Co 1.94, 1 Pa 2.16
O  0.9681  0.3380  0.1375  1 Co 1.94, 1 Pa 2.16
O  0.9681  0.6301  0.3625  1 Co 1.94, 1 Pa 2.16



Question: The highest spin magnetization belongs to which entry?
Answer: number 4